{
  "formula": "VO2",
  "functional": "PBE+U",
  "state": "optimized geometry",
  "lattice_angstrom": [[8.749, 0.000, 0.000], [0.000, 3.066, 0.000], [0.000, 0.000, 10.368]],
  "species": ["V", "V", "V", "V", "V", "V", "V", "V", "O", "O", "O", "O", "O", "O", "O", "O", "O", "O", "O", "O", "O", "O", "O", "O"],
  "fractional_positions": [[0.068, 0.250, 0.109], [0.072, 0.250, 0.607], [0.428, 0.750, 0.107], [0.432, 0.750, 0.609], [0.568, 0.250, 0.391], [0.572, 0.250, 0.893], [0.928, 0.750, 0.393], [0.932, 0.750, 0.891], [0.016, 0.750, 0.221], [0.074, 0.250, 0.429], [0.111, 0.750, 0.985], [0.212, 0.750, 0.639], [0.288, 0.250, 0.139], [0.389, 0.250, 0.485], [0.426, 0.750, 0.929], [0.484, 0.250, 0.721], [0.516, 0.750, 0.279], [0.574, 0.250, 0.071], [0.611, 0.750, 0.515], [0.712, 0.750, 0.861], [0.788, 0.250, 0.361], [0.889, 0.250, 0.015], [0.926, 0.750, 0.571], [0.984, 0.250, 0.779]],
  "magmom_total_mub_per_cell": 8.00,
  "final_energy_ev_per_atom": -7.73,
  "crystal_system": "orthorhombic"
}